No. 1
VASP calculation (PBE) on a relaxed BeCoS2 crystal.

abc: 5.0816 5.0816 6.1432
angles: 65.57 65.57 90.00
Fractional positions:
Co 0.0000 0.0000 0.0000
Co 0.7500 0.2500 0.5000
Be 0.5000 0.5000 0.0000
S 0.8750 0.8511 0.7500
S 0.6011 0.1250 0.2500
S 0.1489 0.6250 0.2500
S 0.3750 0.3989 0.7500
Be 0.2500 0.7500 0.5000

Results
The symmetry is I-42d (122). The value obtained for the total energy is -0.1951 Ha/atom. For the magnetization, the calculation gives 5.68 μB/cell. The value obtained for the uncorrected formation energy is -2.1 eV/f.u.

---

No. 2
VASP calculation (PBE) on a relaxed Er2Al3ZnAu4 crystal.

abc: 4.3085 4.3085 10.6066
angles: 90.00 90.00 90.00
Fractional positions:
Al 0.0000 0.5000 0.1316
Au 0.5000 0.0000 0.6380
Er 0.5000 0.0000 0.2533
Au 0.5000 0.5000 0.0000
Au 0.0000 0.5000 0.3620
Au 0.0000 0.0000 0.0000
Al 0.0000 0.0000 0.5000
Al 0.5000 0.0000 0.8684
Er 0.0000 0.5000 0.7467
Zn 0.5000 0.5000 0.5000

Results
The symmetry is P-4m2 (115). The value obtained for the total energy is -0.1507 Ha/atom. For the magnetization, the calculation gives 0.00 μB/cell. The energy relative to the elements is -626 meV/atom.

---

No. 3
VASP calculation (PBE) on a relaxed CoSb2TeRh crystal.

abc: 4.7603 4.7603 5.0664
angles: 90.00 90.00 90.00
Fractional positions:
Rh 0.5000 0.5000 0.5000
Sb 0.0000 0.5000 0.0000
Co 0.0000 0.0000 0.0000
Sb 0.5000 0.0000 0.0000
Te 0.0000 0.0000 0.5000

Results
The symmetry is P4/mmm (123). The value obtained for the total energy is -0.1691 Ha/atom. For the magnetization, the calculation gives 0.00 μB/cell. The value obtained for the uncorrected formation energy is 2.8 eV/f.u.

---

No. 4
VASP calculation (PBE) on a relaxed Eu2MgCu crystal.

abc: 3.7223 3.7223 8.1116
angles: 90.00 90.00 90.00
Fractional positions:
Eu 0.0000 0.0000 0.2160
Eu 0.0000 0.0000 0.7840
Cu 0.5000 0.5000 0.0000
Mg 0.5000 0.5000 0.5000

Results
The symmetry is P4/mmm (123). The value obtained for the total energy is -0.2438 Ha/atom. For the magnetization, the calculation gives 14.47 μB/cell. The energy relative to the elements is -75 meV/atom.

---

- Which formula does entry 1 have?
  BeCoS2